No. 1
## KV4Te8 (PBE)

Data for a geometry-optimized KV4Te8 structure.

Output
calculated density = 5.94 g/cm3
formation energy (no corrections) = -0.379 eV per atom
energy = -5.20 eV per atom
total magnetic moment = 11.96 Bohr magnetons per cell

The structure in CIF format:
```
data_KV4Te8
_chemical_formula_sum 'K2 V8 Te16'
_symmetry_space_group_name_H-M 'C 1 2/m 1'
_symmetry_Int_Tables_number 12
_cell_length_a 17.9697
_cell_length_b 3.9805
_cell_length_c 12.9569
_cell_angle_alpha 90.00
_cell_angle_beta 130.37
_cell_angle_gamma 90.00
loop_
_symmetry_equiv_pos_as_xyz
'x,y,z'
'-x,-y,-z'
'-x,y,-z'
'x,-y,z'
'x+1/2,y+1/2,z'
'-x+1/2,-y+1/2,-z'
'-x+1/2,y+1/2,-z'
'x+1/2,-y+1/2,z'
loop_
_atom_site_label
_atom_site_type_symbol
_atom_site_fract_x
_atom_site_fract_y
_atom_site_fract_z
_atom_site_occupancy
K1 K 0.0000 0.0000 0.0000 1
V1 V 0.1549 0.0000 0.4734 1
V2 V 0.1729 0.5000 0.8473 1
Te1 Te 0.0422 0.0000 0.7359 1
Te2 Te 0.1202 0.5000 0.5861 1
Te3 Te 0.1536 0.5000 0.3229 1
Te4 Te 0.1959 0.5000 0.0758 1
```

=====

No. 2
## KVTe3 (PBE)

Data for a geometry-optimized KVTe3 structure.

Output
calculated density = 4.97 g/cm3
excess energy over the best structure of this formula in the dataset = 243 meV per atom
formation energy (no corrections) = -0.281 eV per atom
energy = -4.21 eV per atom
total magnetic moment = 1.11 Bohr magnetons per cell

The structure in CIF format:
```
data_KVTe3
_chemical_formula_sum 'K1 V1 Te3'
_symmetry_space_group_name_H-M 'P m -3 m'
_symmetry_Int_Tables_number 221
_symmetry_space_group_name_Hall '-P 4 2 3'
_cell_length_a 5.4053
_cell_length_b 5.4053
_cell_length_c 5.4053
_cell_angle_alpha 90.00
_cell_angle_beta 90.00
_cell_angle_gamma 90.00
loop_
_atom_site_label
_atom_site_type_symbol
_atom_site_fract_x
_atom_site_fract_y
_atom_site_fract_z
_atom_site_occupancy
K1 K 0.0000 0.0000 0.0000 1
V1 V 0.5000 0.5000 0.5000 1
Te1 Te 0.0000 0.5000 0.5000 1
```

=====

No. 3
## K3VTe (PBE)

Data for a geometry-optimized K3VTe structure.

Output
calculated density = 1.67 g/cm3
excess energy over the best structure of this formula in the dataset = 0 meV per atom
formation energy (no corrections) = 0.307 eV per atom
energy = -2.80 eV per atom
total magnetic moment = 4.00 Bohr magnetons per cell

The structure in CIF format:
```
data_K3VTe
_chemical_formula_sum 'K3 V1 Te1'
_symmetry_space_group_name_H-M 'P m -3 m'
_symmetry_Int_Tables_number 221
_symmetry_space_group_name_Hall '-P 4 2 3'
_cell_length_a 6.6477
_cell_length_b 6.6477
_cell_length_c 6.6477
_cell_angle_alpha 90.00
_cell_angle_beta 90.00
_cell_angle_gamma 90.00
loop_
_atom_site_label
_atom_site_type_symbol
_atom_site_fract_x
_atom_site_fract_y
_atom_site_fract_z
_atom_site_occupancy
K1 K 0.0000 0.0000 0.5000 1
V1 V 0.5000 0.5000 0.5000 1
Te1 Te 0.0000 0.0000 0.0000 1
```

=====

No. 4
## KVTe3 (PBE)

Data for a geometry-optimized KVTe3 structure.

Output
calculated density = 3.80 g/cm3
excess energy over the best structure of this formula in the dataset = 1767 meV per atom
formation energy (no corrections) = 1.243 eV per atom
energy = -2.69 eV per atom
total magnetic moment = 3.11 Bohr magnetons per cell

The structure in CIF format:
```
data_KVTe3
_chemical_formula_sum 'K1 V1 Te3'
_symmetry_space_group_name_H-M 'P m -3 m'
_symmetry_Int_Tables_number 221
_symmetry_space_group_name_Hall '-P 4 2 3'
_cell_length_a 5.9137
_cell_length_b 5.9137
_cell_length_c 5.9137
_cell_angle_alpha 90.00
_cell_angle_beta 90.00
_cell_angle_gamma 90.00
loop_
_atom_site_label
_atom_site_type_symbol
_atom_site_fract_x
_atom_site_fract_y
_atom_site_fract_z
_atom_site_occupancy
K1 K 0.0000 0.0000 0.0000 1
V1 V 0.5000 0.5000 0.5000 1
Te1 Te 0.0000 0.0000 0.5000 1
```

=====

No. 5
## KVTe3 (PBE)

Data for a geometry-optimized KVTe3 structure.

Output
calculated density = 4.93 g/cm3
excess energy over the best structure of this formula in the dataset = 0 meV per atom
formation energy (no corrections) = -0.524 eV per atom
energy = -4.45 eV per atom
total magnetic moment = 0.00 Bohr magnetons per cell

The structure in CIF format:
```
data_KVTe3
_chemical_formula_sum 'K2 V2 Te6'
_symmetry_space_group_name_H-M 'P 1 21 1'
_symmetry_Int_Tables_number 4
_cell_length_a 7.6554
_cell_length_b 6.0894
_cell_length_c 7.8299
_cell_angle_alpha 90.00
_cell_angle_beta 119.18
_cell_angle_gamma 90.00
loop_
_symmetry_equiv_pos_as_xyz
'x,y,z'
'-x,y+1/2,-z'
loop_
_atom_site_label
_atom_site_type_symbol
_atom_site_fract_x
_atom_site_fract_y
_atom_site_fract_z
_atom_site_occupancy
K1 K 0.1784 0.0000 0.3581 1
V1 V 0.4434 0.2500 0.0003 1
Te1 Te 0.1713 0.9595 0.8490 1
Te2 Te 0.3228 0.5406 0.1519 1
Te3 Te 0.3412 0.4999 0.6820 1
```

=====

No. 6
## KV2Te3 (PBE)

Data for a geometry-optimized KV2Te3 structure.

Output
calculated density = 4.88 g/cm3
formation energy (no corrections) = -0.448 eV per atom
energy = -5.24 eV per atom
total magnetic moment = 19.77 Bohr magnetons per cell

The structure in CIF format:
```
data_KV2Te3
_chemical_formula_sum 'K4 V8 Te12'
_symmetry_space_group_name_H-M 'C m c m'
_symmetry_Int_Tables_number 63
_symmetry_space_group_name_Hall '-C 2c 2'
_cell_length_a 4.1939
_cell_length_b 16.2470
_cell_length_c 10.4734
_cell_angle_alpha 90.00
_cell_angle_beta 90.00
_cell_angle_gamma 90.00
loop_
_atom_site_label
_atom_site_type_symbol
_atom_site_fract_x
_atom_site_fract_y
_atom_site_fract_z
_atom_site_occupancy
K1 K 0.0000 0.2414 0.2500 1
V1 V 0.0000 0.0000 0.0000 1
V2 V 0.0000 0.4792 0.7500 1
Te1 Te 0.0000 0.0787 0.7500 1
Te2 Te 0.0000 0.3844 0.5481 1
```

=====

No. 7
## K3Y3VTe8 (PBE)

Data for a geometry-optimized K3Y3VTe8 structure.

Output
calculated density = 4.37 g/cm3
formation energy (no corrections) = -1.113 eV per atom
energy = -4.91 eV per atom
total magnetic moment = 2.67 Bohr magnetons per cell

The structure in CIF format:
```
data_K3Y3VTe8
_chemical_formula_sum 'K6 Y6 V2 Te16'
_symmetry_space_group_name_H-M 'C 1 2/m 1'
_symmetry_Int_Tables_number 12
_cell_length_a 14.9804
_cell_length_b 8.6314
_cell_length_c 9.9015
_cell_angle_alpha 90.00
_cell_angle_beta 120.31
_cell_angle_gamma 90.00
loop_
_symmetry_equiv_pos_as_xyz
'x,y,z'
'-x,-y,-z'
'-x,y,-z'
'x,-y,z'
'x+1/2,y+1/2,z'
'-x+1/2,-y+1/2,-z'
'-x+1/2,y+1/2,-z'
'x+1/2,-y+1/2,z'
loop_
_atom_site_label
_atom_site_type_symbol
_atom_site_fract_x
_atom_site_fract_y
_atom_site_fract_z
_atom_site_occupancy
K1 K 0.0000 0.0000 0.0000 1
K2 K 0.2500 0.2500 0.0000 1
Y1 Y 0.0000 0.5000 0.5000 1
Y2 Y 0.2500 0.2500 0.5000 1
V1 V 0.0000 0.0000 0.5000 1
Te1 Te 0.0120 0.2307 0.3052 1
Te2 Te 0.2188 0.0000 0.6948 1
Te3 Te 0.2371 0.5000 0.7112 1
```

=====

No. 8
## K2TeW (PBE)

Data for a geometry-optimized K2TeW structure.

Output
calculated density = 2.97 g/cm3
formation energy (no corrections) = 0.828 eV per atom
energy = -3.74 eV per atom
total magnetic moment = 14.58 Bohr magnetons per cell

The structure in CIF format:
```
data_K2TeW
_chemical_formula_sum 'K8 Te4 W4'
_symmetry_space_group_name_H-M 'I -4 2 d'
_symmetry_Int_Tables_number 122
_symmetry_space_group_name_Hall 'I -4 2bw'
_cell_length_a 12.9473
_cell_length_b 12.9473
_cell_length_c 5.1996
_cell_angle_alpha 90.00
_cell_angle_beta 90.00
_cell_angle_gamma 90.00
loop_
_atom_site_label
_atom_site_type_symbol
_atom_site_fract_x
_atom_site_fract_y
_atom_site_fract_z
_atom_site_occupancy
K1 K 0.0731 0.2500 0.1250 1
Te1 Te 0.0000 0.0000 0.0000 1
W1 W 0.0000 0.0000 0.5000 1
```

=====

No. 9
## KTeW (PBE)

Data for a geometry-optimized KTeW structure.

Output
calculated density = 5.56 g/cm3
excess energy over the best structure of this formula in the dataset = 1171 meV per atom
formation energy (no corrections) = 1.857 eV per atom
energy = -3.87 eV per atom
total magnetic moment = 19.93 Bohr magnetons per cell

The structure in CIF format:
```
data_KTeW
_chemical_formula_sum 'K4 Te4 W4'
_symmetry_space_group_name_H-M 'F -4 3 m'
_symmetry_Int_Tables_number 216
_symmetry_space_group_name_Hall 'F -4 2 3'
_cell_length_a 7.4819
_cell_length_b 7.4819
_cell_length_c 7.4819
_cell_angle_alpha 90.00
_cell_angle_beta 90.00
_cell_angle_gamma 90.00
loop_
_atom_site_label
_atom_site_type_symbol
_atom_site_fract_x
_atom_site_fract_y
_atom_site_fract_z
_atom_site_occupancy
K1 K 0.0000 0.0000 0.0000 1
Te1 Te 0.2500 0.2500 0.2500 1
W1 W 0.2500 0.2500 0.7500 1
```

=====

No. 10
## K2TeW (PBE)

Data for a geometry-optimized K2TeW structure.

Output
calculated density = 5.92 g/cm3
formation energy (no corrections) = 0.866 eV per atom
energy = -3.71 eV per atom
total magnetic moment = 0.54 Bohr magnetons per cell

The structure in CIF format:
```
data_K2TeW
_chemical_formula_sum 'K2 Te1 W1'
_symmetry_space_group_name_H-M 'P 4/m m m'
_symmetry_Int_Tables_number 123
_symmetry_space_group_name_Hall '-P 4 2'
_cell_length_a 3.0781
_cell_length_b 3.0781
_cell_length_c 11.5427
_cell_angle_alpha 90.00
_cell_angle_beta 90.00
_cell_angle_gamma 90.00
loop_
_atom_site_label
_atom_site_type_symbol
_atom_site_fract_x
_atom_site_fract_y
_atom_site_fract_z
_atom_site_occupancy
K1 K 0.0000 0.0000 0.2499 1
Te1 Te 0.5000 0.5000 0.0000 1
W1 W 0.5000 0.5000 0.5000 1
```